A plane-wave DFT calculation with PBEsol was carried out for an optimized crystal structure of Y3Cu.

a b c (Å): 3.574 5.192 6.331
angles (deg): 114.21 106.39 90.00
Positions (direct):
Y (0.500, 0.583, 0.000)
Y (0.704, 0.288, 0.408)
Y (0.296, 0.879, 0.592)
Cu (0.000, 0.083, 0.000)

Values from the calculation:
The calculation puts the density at 5.4 Mg/m³. As for the total energy: -6.25 eV/atom. Its crystal system is orthorhombic. Its density of states at the Fermi level is 5.27 states/eV per cell. The calculation puts the formation energy at -51 meV per atom.